Compound: AlBi3S6
Source: Alexandria via LeMat-Bulk
Functional: PBE
Structure: relaxed

Lattice parameters (Å, degrees): 8.8660 8.8660 6.5757 90.00 90.00 102.53
Closest atoms and distances in Å follow each position.
Atoms (fractional coordinates):
Al: 0.1974 0.8026 0.5000  4 S 2.25-2.28
Al: 0.8026 0.1974 0.0000  4 S 2.25-2.28
Bi: 0.0787 0.2922 0.4430  6 S 2.73-2.97
Bi: 0.2922 0.0787 0.9430  6 S 2.73-2.97
Bi: 0.3971 0.6029 0.8884  7 S 2.80-3.06
Bi: 0.6029 0.3971 0.3884  7 S 2.80-3.06
Bi: 0.7078 0.9213 0.4430  6 S 2.73-2.97
Bi: 0.9213 0.7078 0.9430  6 S 2.73-2.97
S: 0.0475 0.9525 0.6426  1 Al 2.28
S: 0.1028 0.5741 0.6622  1 Al 2.28
S: 0.2172 0.7828 0.1603  1 Al 2.25
S: 0.3160 0.3627 0.1700  4 Bi 2.73-2.89
S: 0.3627 0.3160 0.6700  4 Bi 2.73-2.89
S: 0.4259 0.8972 0.6622  1 Al 2.28
S: 0.5741 0.1028 0.1622  1 Al 2.28
S: 0.6373 0.6840 0.1700  4 Bi 2.73-2.89
S: 0.6840 0.6373 0.6700  4 Bi 2.73-2.89
S: 0.7828 0.2172 0.6603  1 Al 2.25
S: 0.8972 0.4259 0.1622  1 Al 2.28
S: 0.9525 0.0475 0.1426  1 Al 2.28

Calculated values
As for the space-group type: Cmc2_1. For the total energy, the calculation gives -4.52 eV per atom. The value obtained for the formation energy (no corrections) is -0.509 eV/atom. As for the size of the total moment: 0.00 μB/cell.